No. 1
VASP calculation (PBE) on a relaxed structure of MnGe2Te4.

Summary:
Space-group type: No. 166
E_form (uncorrected) in meV/atom: -136
Energy in eV per atom: -4.560

a b c (Å): 4.015 4.015 14.327
angles (deg): 81.95 81.95 60.00
Site moments in Bohr magnetons follow the coordinates.
Fractional positions:
Mn  0.000  0.000  0.000  3.48
Ge  0.244  0.244  0.267  -0.01
Ge  0.756  0.756  0.733  -0.01
Te  0.125  0.125  0.625  -0.04
Te  0.875  0.875  0.375  -0.04
Te  0.368  0.368  0.895  -0.10
Te  0.632  0.632  0.105  -0.10

***

No. 2
VASP calculation (PBE) on a relaxed structure of MnGeTe2.

Summary:
Space-group type: No. 123
E_form (uncorrected) in meV/atom: -52
Energy in eV per atom: -5.070

a b c (Å): 4.185 4.185 5.868
angles (deg): 90.00 90.00 90.00
Site moments in Bohr magnetons follow the coordinates.
Fractional positions:
Mn  0.500  0.500  0.500  4.26
Ge  0.000  0.000  0.000  0.05
Te  0.000  0.000  0.500  0.06
Te  0.500  0.500  0.000  0.03

***

No. 3
VASP calculation (PBE) on a relaxed structure of Mn3GeTe.

Summary:
Space-group type: No. 221
E_form (uncorrected) in meV/atom: 1062
Energy in eV per atom: -5.992

a b c (Å): 4.967 4.967 4.967
angles (deg): 90.00 90.00 90.00
Site moments in Bohr magnetons follow the coordinates.
Fractional positions:
Ge  0.500  0.500  0.500  -0.19
Te  0.000  0.000  0.000  -0.10
Mn  0.000  0.500  0.000  3.62
Mn  0.000  0.000  0.500  3.49
Mn  0.500  0.000  0.000  3.75

***

No. 4
VASP calculation (PBE) on a relaxed structure of MnTlGeTe3.

Summary:
Space-group type: No. 11
E_form (uncorrected) in meV/atom: -89
Energy in eV per atom: -4.352

a b c (Å): 4.427 9.080 9.501
angles (deg): 101.65 90.00 90.00
Site moments in Bohr magnetons follow the coordinates.
Fractional positions:
Mn  0.250  0.075  0.574  3.22
Mn  0.750  0.925  0.426  3.22
Tl  0.750  0.829  0.786  -0.01
Tl  0.250  0.171  0.214  -0.01
Ge  0.250  0.645  0.126  -0.02
Ge  0.750  0.355  0.874  -0.02
Te  0.250  0.783  0.460  -0.09
Te  0.750  0.873  0.146  -0.08
Te  0.750  0.442  0.171  -0.06
Te  0.750  0.217  0.540  -0.09
Te  0.250  0.558  0.829  -0.06
Te  0.250  0.127  0.854  -0.08

***

No. 5
VASP calculation (PBE) on a relaxed structure of MnTl2GeTe4.

Summary:
Space-group type: No. 121
ΔE to the lowest computed polymorph in eV per atom: 0.000
E_form (uncorrected) in meV/atom: -192
Energy in eV per atom: -4.078

a b c (Å): 7.012 7.012 7.012
angles (deg): 104.24 104.24 120.54
Site moments in Bohr magnetons follow the coordinates.
Fractional positions:
Mn  0.500  0.500  0.000  4.17
Tl  0.000  0.500  0.500  0.01
Tl  0.500  0.000  0.500  0.01
Ge  0.000  0.000  0.000  0.03
Te  0.932  0.932  0.339  0.03
Te  0.593  0.593  0.661  0.03
Te  0.068  0.407  0.000  0.03
Te  0.407  0.068  0.000  0.03

***

No. 6
VASP calculation (PBE) on a relaxed structure of MnTl2GeTe4.

Summary:
Space-group type: No. 74
ΔE to the lowest computed polymorph in eV per atom: 0.023
E_form (uncorrected) in meV/atom: -170
Energy in eV per atom: -4.056

a b c (Å): 8.726 8.726 8.533
angles (deg): 119.27 119.27 89.66
Site moments in Bohr magnetons follow the coordinates.
Fractional positions:
Mn  0.000  0.500  0.000  3.69
Mn  0.000  0.500  0.500  3.69
Tl  0.500  0.000  0.000  0.00
Tl  0.500  0.000  0.500  0.00
Tl  0.000  0.000  0.500  -0.03
Tl  0.500  0.500  0.000  -0.03
Ge  0.500  0.500  0.500  0.01
Ge  0.000  0.000  0.000  0.01
Te  0.200  0.718  0.959  -0.09
Te  0.782  0.300  0.541  -0.09
Te  0.218  0.700  0.459  -0.09
Te  0.800  0.282  0.041  -0.09
Te  0.772  0.728  0.980  -0.07
Te  0.772  0.728  0.520  -0.07
Te  0.228  0.272  0.480  -0.07
Te  0.228  0.272  0.020  -0.07